(1)
VASP calculation (PBE-GGA) on a relaxed structure of UBeTc.

Cell: 5.851 5.851 5.851 Å, 90.00 90.00 90.00°
Space group F-43m (No. 216)
Asymmetric unit:
U  0.000  0.000  0.000 [4 per cell]
Be  0.250  0.250  0.750 [4 per cell]
Tc  0.000  0.000  0.500 [4 per cell]

Summary:
total energy: -96.6 eV/cell
ΔE to the lowest computed polymorph: 0.00 eV/f.u.

***

(2)
VASP calculation (PBE-GGA) on a relaxed structure of Hf4GaPN2.

Cell: 3.2874 3.2874 12.8668 Å, 90.00 90.00 120.00°
Space group P-6m2 (No. 187)
Asymmetric unit:
Hf  0.0000  0.0000  0.1379 [2 per cell]
Hf  0.6667  0.3333  0.3306 [2 per cell]
Ga  0.0000  0.0000  0.5000 [1 per cell]
P  0.6667  0.3333  0.0000 [1 per cell]
N  0.3333  0.6667  0.2373 [2 per cell]

Summary:
total energy: -75.2 eV/cell

***

(3)
VASP calculation (PBE-GGA) on a relaxed structure of CsSmB.

Cell: 6.982 6.982 6.982 Å, 90.00 90.00 90.00°
Space group F-43m (No. 216)
Asymmetric unit:
Cs  0.000  0.000  0.000 [4 per cell]
Sm  0.250  0.250  0.750 [4 per cell]
B  0.000  0.000  0.500 [4 per cell]

Summary:
total energy: -31.3 eV/cell
ΔE to the lowest computed polymorph: 0.00 eV/f.u.

***

(4)
VASP calculation (PBE-GGA) on a relaxed structure of CsNbAgAu.

Cell: 7.461 7.461 7.461 Å, 90.00 90.00 90.00°
Space group F-43m (No. 216)
Asymmetric unit:
Cs  0.000  0.000  0.000 [4 per cell]
Nb  0.250  0.250  0.750 [4 per cell]
Ag  0.000  0.000  0.500 [4 per cell]
Au  0.250  0.250  0.250 [4 per cell]

Summary:
total energy: -49.3 eV/cell
ΔE to the lowest computed polymorph: 0.58 eV/f.u.

***

(5)
VASP calculation (PBE-GGA) on a relaxed structure of NdSi2Sb2.

Cell: 5.415 5.415 8.724 Å, 90.00 90.00 90.00°
Space group P4/nmm (No. 129, origin choice 2)
Asymmetric unit:
Nd  0.250  0.250  0.247 [2 per cell]
Si  0.250  0.250  0.582 [2 per cell]
Si  0.250  0.750  0.000 [2 per cell]
Sb  0.250  0.250  0.889 [2 per cell]
Sb  0.250  0.750  0.500 [2 per cell]

Summary:
total energy: -47.4 eV/cell

***

(6)
VASP calculation (PBE-GGA) on a relaxed structure of HoEr2In3NiGe2.

Cell: 4.216 12.622 7.285 Å, 90.00 90.00 90.00°
Space group Amm2 (No. 38)
Asymmetric unit:
Ho  0.000  0.000  0.000 [2 per cell]
Er  0.000  0.201  0.396 [4 per cell]
In  0.500  0.000  0.357 [2 per cell]
In  0.500  0.120  0.717 [4 per cell]
Ni  0.000  0.000  0.597 [2 per cell]
Ge  0.500  0.167  0.097 [4 per cell]

Summary:
total energy: -84.0 eV/cell

***

(7)
VASP calculation (PBE-GGA) on a relaxed structure of TbDyIn4Fe2.

Cell: 7.524 4.306 10.639 Å, 90.00 90.00 90.00°
Space group Amm2 (No. 38)
Asymmetric unit:
Tb  0.000  0.000  0.000 [2 per cell]
Dy  0.500  0.000  0.863 [2 per cell]
In  0.200  0.000  0.291 [4 per cell]
In  0.300  0.000  0.572 [4 per cell]
Fe  0.000  0.000  0.720 [2 per cell]
Fe  0.500  0.000  0.142 [2 per cell]

Summary:
total energy: -76.2 eV/cell

***

(8)
VASP calculation (PBE-GGA) on a relaxed structure of AlZnNO.

Cell: 5.406 7.099 5.066 Å, 90.00 90.00 90.00°
Space group Pca2_1 (No. 29)
Asymmetric unit:
Al  0.077  0.117  0.000 [4 per cell]
Zn  0.160  0.565  0.894 [4 per cell]
N  0.025  0.647  0.555 [4 per cell]
O  0.130  0.053  0.656 [4 per cell]

Summary:
total energy: -96.0 eV/cell
ΔE to the lowest computed polymorph: 0.20 eV/f.u.